Fe2RhO6 | Alexandria | GGA+U | optimized geometry; electronic total energy = -6.328 eV/atom; crystal system = tetragonal
1.0
-2.445 3.859 0.179
-0.386 -0.455 4.533
7.760 4.864 1.149
Fe Rh O
4 2 12
Cartesian
-0.132 2.507 2.546 Fe
2.596 1.627 0.384 Fe
5.060 5.761 3.315 Fe
5.164 3.237 0.765 Fe
0.000 0.000 0.000 Rh
2.464 4.134 2.931 Rh
0.497 1.192 3.874 O
4.301 4.275 2.202 O
-0.759 3.823 1.218 O
4.432 7.076 1.987 O
5.688 4.445 4.643 O
-1.985 2.387 3.304 O
3.080 2.845 4.232 O
0.627 3.993 3.659 O
1.732 2.665 1.821 O
3.197 5.603 4.040 O
1.849 5.423 1.629 O
-0.846 1.017 1.408 O